(1)
The following is a GGA-PBE calculation of crystalline PrBOsC at its relaxed geometry, from the Alexandria database.

abc: 3.7792 3.7792 8.1731
angles: 90.00 90.00 90.00
With the nearest neighbours (Å) after each atom.
Atoms (fractional coordinates):
Pr 0.5000 0.0000 0.1655  5 C 2.60-2.67
Pr 0.0000 0.5000 0.8345  5 C 2.60-2.67
C 0.0000 0.5000 0.1526  1 B 1.53
C 0.5000 0.0000 0.8474  1 B 1.53
Os 0.0000 0.0000 0.5000  4 B 2.30
Os 0.5000 0.5000 0.5000  4 B 2.30
B 0.5000 0.0000 0.6605  1 C 1.53
B 0.0000 0.5000 0.3395  1 C 1.53

## Properties
The value obtained for the energy of formation is -47.6 kJ/mol of formula units. Its volume is 14.59 A^3/atom. Its symmetry is No. 129. As for the density of states at the Fermi level: 3.16 states/eV/f.u.

(2)
The following is a GGA-PBE calculation of crystalline Rb2BOsC at its relaxed geometry, from the Alexandria database.

abc: 6.5114 2.8321 6.5114
angles: 90.00 90.00 90.00
With the nearest neighbours (Å) after each atom.
Atoms (fractional coordinates):
Os 0.5000 0.5000 0.5000  2 Os 2.83
Rb 0.5000 0.0000 0.0000  2 Rb 2.83
Rb 0.0000 0.0000 0.5000  2 Rb 2.83
C 0.0000 0.5000 0.0000  2 B 1.42
B 0.0000 0.0000 0.0000  2 C 1.42

## Properties
The value obtained for the energy of formation is 504.6 kJ/mol of formula units. Its volume is 24.02 A^3/atom. Its symmetry is No. 123. As for the density of states at the Fermi level: 3.31 states/eV/f.u.

(3)
The following is a GGA-PBE calculation of crystalline SnBOs2C at its relaxed geometry, from the Alexandria database.

abc: 5.0038 4.0728 5.0038
angles: 90.00 90.00 90.00
With the nearest neighbours (Å) after each atom.
Atoms (fractional coordinates):
Os 0.5000 0.0000 0.0000  2 Sn 2.50
Os 0.0000 0.0000 0.5000  2 Sn 2.50
C 0.5000 0.5000 0.5000  8 Os 3.23, 4 B 3.54
B 0.0000 0.5000 0.0000  2 Sn 2.04
Sn 0.0000 0.0000 0.0000  2 B 2.04

## Properties
The value obtained for the energy of formation is 1835.3 kJ/mol of formula units. Its volume is 20.39 A^3/atom. Its symmetry is No. 123. As for the density of states at the Fermi level: 5.15 states/eV/f.u.

(4)
The following is a GGA-PBE calculation of crystalline Tb2B2Os2C at its relaxed geometry, from the Alexandria database.

abc: 3.7058 5.7314 5.8334
angles: 70.04 71.48 71.14
With the nearest neighbours (Å) after each atom.
Atoms (fractional coordinates):
Tb 0.5665 0.1882 0.6789  2 C 2.58
Tb 0.4335 0.8118 0.3211  2 C 2.58
C 0.0000 0.0000 0.0000  2 Os 1.91
B 0.8162 0.6221 0.7455  3 Os 2.11-2.24
B 0.1838 0.3779 0.2545  3 Os 2.11-2.24
Os 0.2058 0.6915 0.8968  1 C 1.91, 2 B 2.11
Os 0.7942 0.3085 0.1032  1 C 1.91, 2 B 2.11

## Properties
The value obtained for the energy of formation is -316.3 kJ/mol of formula units. Its volume is 15.31 A^3/atom. Its symmetry is No. 12. As for the density of states at the Fermi level: 3.48 states/eV/f.u.

(5)
The following is a GGA-PBE calculation of crystalline BTeOsC2 at its relaxed geometry, from the Alexandria database.

abc: 3.6666 4.6589 3.6666
angles: 90.00 90.00 90.00
With the nearest neighbours (Å) after each atom.
Atoms (fractional coordinates):
B 0.0000 0.0000 0.0000  4 C 1.83
Te 0.5000 0.5000 0.5000  4 Os 2.59
Os 0.0000 0.5000 0.0000  2 B 2.33, 4 Te 2.59
C 0.5000 0.0000 0.0000  2 B 1.83
C 0.0000 0.0000 0.5000  2 B 1.83

## Properties
The value obtained for the uncorrected formation energy is 2.244 eV per atom. Its volume is 12.53 A^3/atom. Its symmetry is No. 123. As for the density of states at the Fermi level: 2.80 states/eV/f.u.

(6)
The following is a GGA-PBE calculation of crystalline Th2BOsC at its relaxed geometry, from the Alexandria database.

abc: 3.7686 6.3034 8.2854
angles: 110.80 90.00 90.00
With the nearest neighbours (Å) after each atom.
Atoms (fractional coordinates):
B 0.2500 0.5494 0.7530  1 C 1.55
B 0.7500 0.4506 0.2470  1 C 1.55
Os 0.2500 0.6455 0.2954  2 B 2.21
Os 0.7500 0.3545 0.7046  2 B 2.21
C 0.2500 0.8127 0.8288  1 B 1.55
C 0.7500 0.1873 0.1712  1 B 1.55
Th 0.7500 0.7709 0.0416  3 C 2.46-2.66
Th 0.7500 0.7936 0.5972  2 C 2.66, 1 B 2.94
Th 0.2500 0.2291 0.9584  3 C 2.46-2.66
Th 0.2500 0.2064 0.4028  2 C 2.66, 1 B 2.94

## Properties
The value obtained for the energy of formation is -180.2 kJ/mol of formula units. Its volume is 18.40 A^3/atom. Its symmetry is No. 11. As for the density of states at the Fermi level: 3.86 states/eV/f.u.

(7)
The following is a GGA-PBE calculation of crystalline Th2B2Os2C at its relaxed geometry, from the Alexandria database.

abc: 3.8491 5.7718 5.9886
angles: 69.20 71.25 70.52
With the nearest neighbours (Å) after each atom.
Atoms (fractional coordinates):
Th 0.5658 0.1916 0.6768  2 C 2.66
Th 0.4342 0.8084 0.3232  2 C 2.66
C 0.0000 0.0000 0.0000  2 Os 1.94
B 0.8101 0.6260 0.7538  3 Os 2.15-2.23
B 0.1899 0.3740 0.2462  3 Os 2.15-2.23
Os 0.7923 0.3116 0.1039  1 C 1.94, 2 B 2.15
Os 0.2077 0.6884 0.8961  1 C 1.94, 2 B 2.15

## Properties
The value obtained for the energy of formation is -279.0 kJ/mol of formula units. Its volume is 16.30 A^3/atom. Its symmetry is No. 12. As for the density of states at the Fermi level: 2.08 states/eV/f.u.

(8)
The following is a GGA-PBE calculation of crystalline Tm2B2Os2C at its relaxed geometry, from the Alexandria database.

abc: 3.6521 5.6819 5.7146
angles: 70.00 71.36 71.25
With the nearest neighbours (Å) after each atom.
Atoms (fractional coordinates):
Os 0.7913 0.3089 0.1085  1 C 1.90, 2 B 2.11
Os 0.2087 0.6911 0.8915  1 C 1.90, 2 B 2.11
B 0.1736 0.3850 0.2679  3 Os 2.11-2.25
B 0.8264 0.6150 0.7321  3 Os 2.11-2.25
Tm 0.4342 0.8117 0.3198  2 C 2.53
Tm 0.5658 0.1883 0.6802  2 C 2.53
C 0.0000 0.0000 0.0000  2 Os 1.90

## Properties
The value obtained for the energy of formation is -327.2 kJ/mol of formula units. Its volume is 14.65 A^3/atom. Its symmetry is No. 12. As for the density of states at the Fermi level: 2.98 states/eV/f.u.